The following is a DFT calculation (PBE-GGA) of an optimized crystal structure of AcSiHOs.

Results
- Uncorrected energy: -53.14 eV for the cell shown

a b c (Å): 4.273 4.273 8.059
angles (deg): 90.00 90.00 90.00
Positions (direct):
Si: 0.000 0.500 0.861
H: 0.500 0.500 0.500
Os: 0.500 0.500 0.000
Ac: 0.000 0.500 0.324
H: 0.000 0.000 0.500
Os: 0.000 0.000 0.000
Ac: 0.500 0.000 0.676
Si: 0.500 0.000 0.139